# 1
Here is a relaxed CaCrIrI2 crystal from Alexandria. Energies are from PBE-GGA.

Computed properties:
Formation energy (no corrections) ... 0.2518 eV/atom
Total energy ... -22.3 eV/cell

Geometry as extended XYZ:
```
5
Lattice="-0.543 2.739 4.819 3.546 -2.565 1.857 3.670 3.807 -1.750" Properties=species:S:1:pos:R:3 pbc="T T T"
I -0.271 1.369 2.410
I 1.835 1.903 -0.875
Ca 3.336 1.990 2.463
Ir 0.000 0.000 0.000
Cr 1.773 -1.282 0.928
```



# 2
Here is a relaxed CaMg2CrI crystal from Alexandria. Energies are from PBE-GGA.

Computed properties:
Formation energy (no corrections) ... 0.9554 eV/atom
Total energy ... -11.6 eV/cell

Geometry as extended XYZ:
```
5
Lattice="-2.470 3.465 -3.768 -0.089 -3.545 -3.202 -5.118 -1.585 1.897" Properties=species:S:1:pos:R:3 pbc="T T T"
Cr -0.044 -1.772 -1.601
Ca -3.838 -0.832 -2.537
Mg -1.235 1.733 -1.884
Mg -2.559 -0.793 0.948
I 0.000 0.000 0.000
```



Q: What is the total energy in the second record?
A: -11.6 eV/cell